KAgHg after structural relaxation. Source: Alexandria via LeMat-Bulk, functional PBE-GGA.

## Properties
Space-group type: No. 74
Energy (eV per atom): -1.5274
Energy of formation (eV per atom): -0.111
Offset from the most stable computed form (meV/atom): 0

a = 6.209 Å, b = 6.209 Å, c = 6.209 Å
α = 121.93°, β = 118.65°, γ = 89.53°
Atoms (fractional coordinates):
K 0.373 0.123 0.250
K 0.627 0.877 0.750
Ag 0.000 0.000 0.500
Ag 0.000 0.500 0.000
Hg 0.000 0.500 0.500
Hg 0.500 0.500 0.000

***

K8AgHg2 after structural relaxation. Source: Alexandria via LeMat-Bulk, functional PBE-GGA.

## Properties
Space-group type: No. 12
Energy (eV per atom): -1.1900
Energy of formation (eV per atom): -0.078
Offset from the most stable computed form (meV/atom): 0

a = 11.455 Å, b = 11.455 Å, c = 8.510 Å
α = 106.35°, β = 106.35°, γ = 30.15°
Atoms (fractional coordinates):
K 0.029 0.029 0.296
K 0.210 0.210 0.814
K 0.337 0.337 0.534
K 0.407 0.407 0.062
K 0.593 0.593 0.938
K 0.663 0.663 0.466
K 0.790 0.790 0.186
K 0.971 0.971 0.704
Ag 0.500 0.500 0.500
Hg 0.181 0.181 0.211
Hg 0.819 0.819 0.789

***

Number 1: spin magnetization 0.00 μB per atom. Number 2: spin magnetization 0.00 μB per atom.